VASP calculation (GGA-PBE) on a relaxed structure of ReWSe4.

Cell lengths 5.4211, 5.4211, 5.4211 Å; angles 60.00, 60.00, 60.00 degrees
Last column: nearest neighbours and their distance in Å.
Element x y z (fractional)
Se 0.3747 0.3747 0.8760  6 Se 2.70-2.72
Se 0.8760 0.3747 0.3747  6 Se 2.70-2.72
Se 0.3747 0.8760 0.3747  6 Se 2.70-2.72
Se 0.3747 0.3747 0.3747  6 Se 2.70-2.72
Re 0.0000 0.0000 0.0000  12 Se 3.18, 4 W 3.32
W 0.7500 0.7500 0.7500  12 Se 3.18, 4 Re 3.32

## Properties
crystal system = cubic
ΔE to the lowest computed polymorph = 1925.6 meV per atom
space-group type = F-43m (216)
raw total energy = -4.781 eV/atom